Density functional theory data (PBE) for an optimized crystal structure of AgHgSeF.

Cell and atoms, written as POSCAR:
```
AgHgSeF
1.0
-0.794 -4.294 0.195
3.325 -2.830 0.217
0.605 -1.859 10.538
Ag Se Hg F
2 2 2 2
Cartesian
1.656 -4.683 1.614
1.479 -4.300 9.336
2.458 -6.969 3.555
0.677 -2.015 7.395
2.383 -6.806 6.833
0.752 -2.177 4.117
2.316 -6.660 9.777
0.820 -2.323 1.173
```

magnetic moment	0.000	μB per cell
space group	R-3m, No. 166
formation energy from raw total energies	-508	meV/atom

Density functional theory data (PBE) for an optimized crystal structure of LuHfSc.

Cell and atoms, written as POSCAR:
```
LuHfSc
1.0
-0.483 3.171 -0.644
-2.178 0.163 2.436
6.474 0.027 3.591
Lu Hf Sc
1 1 1
Cartesian
0.079 0.026 0.068
0.420 2.243 2.423
3.315 1.092 2.891
```

magnetic moment	0.000	μB per cell
space group	I4mm, No. 107
formation enthalpy at 0 K	0.07	eV per atom
E above lowest polymorph	0.0	meV/atom

The records above yield V values of 86.2, 75.3 Å³/f.u., respectively.
The records above yield VASP energy values of -2.64, -6.86 eV/atom, respectively.